1.
Crystalline ZnSb2TeMo at its relaxed geometry, computed with PBEsol.

ΔE_f (raw)   596.2 meV/atom
DFT total energy   -23.01 eV for the cell shown

a = 5.2581 Å, b = 5.1757 Å, c = 5.1757 Å
α = 90.00°, β = 90.00°, γ = 90.00°
Last column: nearest neighbours and their distance in Å.
Atoms (fractional coordinates):
Mo  0.0000  0.0000  0.0000  4 Sb 2.59, 2 Te 2.63
Sb  0.0000  0.5000  0.0000  2 Mo 2.59
Sb  0.0000  0.0000  0.5000  2 Mo 2.59
Zn  0.5000  0.5000  0.5000  4 Te 3.66, 8 Sb 3.69
Te  0.5000  0.0000  0.0000  2 Mo 2.63

---

2.
Crystalline PbSe3I at its relaxed geometry, computed with PBEsol.

ΔE_f (raw)   439.5 meV/atom
DFT total energy   -15.12 eV for the cell shown

a = 5.3273 Å, b = 5.3273 Å, c = 5.3273 Å
α = 90.00°, β = 90.00°, γ = 90.00°
Last column: nearest neighbours and their distance in Å.
Atoms (fractional coordinates):
I  0.0000  0.0000  0.0000  6 Se 2.66
Se  0.0000  0.5000  0.0000  2 I 2.66
Se  0.5000  0.0000  0.0000  2 I 2.66
Se  0.0000  0.0000  0.5000  2 I 2.66
Pb  0.5000  0.5000  0.5000  12 Se 3.77

---

3.
Crystalline Ba2CdTe3 at its relaxed geometry, computed with PBEsol.

ΔE_f (raw)   -1304.5 meV/atom
DFT total energy   -95.60 eV for the cell shown

a = 4.7267 Å, b = 9.7786 Å, c = 18.9652 Å
α = 90.00°, β = 90.00°, γ = 90.00°
Last column: nearest neighbours and their distance in Å.
Atoms (fractional coordinates):
Te  0.2500  0.3047  0.2802  1 Cd 2.81
Te  0.2500  0.9885  0.5966  2 Cd 2.84
Te  0.2500  0.1105  0.0715  1 Cd 2.81
Te  0.2500  0.4885  0.9034  2 Cd 2.84
Te  0.7500  0.3895  0.5715  1 Cd 2.81
Te  0.7500  0.0115  0.4034  2 Cd 2.84
Te  0.7500  0.5115  0.0966  2 Cd 2.84
Te  0.2500  0.6105  0.4285  1 Cd 2.81
Te  0.7500  0.1953  0.7802  1 Cd 2.81
Te  0.7500  0.6953  0.7198  1 Cd 2.81
Te  0.7500  0.8895  0.9285  1 Cd 2.81
Te  0.2500  0.8047  0.2198  1 Cd 2.81
Cd  0.7500  0.1309  0.6359  4 Te 2.81-2.84
Cd  0.2500  0.3691  0.1359  4 Te 2.81-2.84
Cd  0.7500  0.6309  0.8641  4 Te 2.81-2.84
Cd  0.2500  0.8691  0.3641  4 Te 2.81-2.84
Ba  0.2500  0.2529  0.4623  7 Te 3.41-3.63
Ba  0.7500  0.2471  0.9623  7 Te 3.41-3.63
Ba  0.7500  0.7471  0.5377  7 Te 3.41-3.63
Ba  0.7500  0.0723  0.2133  7 Te 3.52-3.65
Ba  0.2500  0.7529  0.0377  7 Te 3.41-3.63
Ba  0.2500  0.4277  0.7133  7 Te 3.52-3.65
Ba  0.7500  0.5723  0.2867  7 Te 3.52-3.65
Ba  0.2500  0.9277  0.7867  7 Te 3.52-3.65

---

4.
Crystalline BaIn2As at its relaxed geometry, computed with PBEsol.

Energy of formation from the pure elements   -0.431 eV per atom
DFT total energy   -14.94 eV for the cell shown

a = 4.8628 Å, b = 5.0877 Å, c = 5.0877 Å
α = 102.10°, β = 90.00°, γ = 90.00°
Last column: nearest neighbours and their distance in Å.
Atoms (fractional coordinates):
In  0.0000  0.3066  0.6934  2 As 2.87, 1 In 3.06
In  0.0000  0.6934  0.3066  2 As 2.87, 1 In 3.06
As  0.5000  0.5000  0.5000  4 In 2.87, 2 Ba 3.20
Ba  0.5000  0.0000  0.0000  2 As 3.20, 4 In 3.44

---

5.
Crystalline BeNiAs2 at its relaxed geometry, computed with PBEsol.

Energy of formation from the pure elements   0.255 eV per atom
DFT total energy   -19.35 eV for the cell shown

a = 3.5121 Å, b = 3.5121 Å, c = 5.0724 Å
α = 110.25°, β = 110.25°, γ = 90.00°
Last column: nearest neighbours and their distance in Å.
Atoms (fractional coordinates):
As  0.0000  0.0000  0.0000  4 Be 2.48
As  0.7500  0.2500  0.5000  4 Ni 2.48
Ni  0.2500  0.7500  0.5000  4 As 2.48
Be  0.5000  0.5000  0.0000  4 As 2.48

---

6.
Crystalline GaHgIr3 at its relaxed geometry, computed with PBEsol.

Energy of formation from the pure elements   2.477 eV per atom
DFT total energy   -20.99 eV for the cell shown

a = 4.8533 Å, b = 4.8533 Å, c = 4.8533 Å
α = 90.00°, β = 90.00°, γ = 90.00°
Last column: nearest neighbours and their distance in Å.
Atoms (fractional coordinates):
Ir  0.5000  0.0000  0.0000  2 Hg 2.43
Ir  0.0000  0.0000  0.5000  2 Hg 2.43
Ir  0.0000  0.5000  0.0000  2 Hg 2.43
Ga  0.5000  0.5000  0.5000  12 Ir 3.43
Hg  0.0000  0.0000  0.0000  6 Ir 2.43

---

7.
Crystalline CdCuIr3 at its relaxed geometry, computed with PBEsol.

Energy of formation from the pure elements   1.538 eV per atom
DFT total energy   -27.31 eV for the cell shown

a = 4.4452 Å, b = 4.4452 Å, c = 4.4452 Å
α = 90.00°, β = 90.00°, γ = 90.00°
Last column: nearest neighbours and their distance in Å.
Atoms (fractional coordinates):
Cd  0.5000  0.5000  0.5000  12 Ir 3.14
Ir  0.0000  0.0000  0.5000  2 Cu 2.22
Ir  0.0000  0.5000  0.0000  2 Cu 2.22
Ir  0.5000  0.0000  0.0000  2 Cu 2.22
Cu  0.0000  0.0000  0.0000  6 Ir 2.22

---

8.
Crystalline FeTc3Cl at its relaxed geometry, computed with PBEsol.

Energy above the most stable polymorph in this dataset   0.0000 eV per atom
ΔE_f (raw)   1209.9 meV/atom
DFT total energy   -38.72 eV for the cell shown

a = 4.2372 Å, b = 4.2372 Å, c = 4.2372 Å
α = 90.00°, β = 90.00°, γ = 90.00°
Last column: nearest neighbours and their distance in Å.
Atoms (fractional coordinates):
Cl  0.0000  0.0000  0.0000  6 Tc 2.12
Tc  0.5000  0.0000  0.0000  2 Cl 2.12
Tc  0.0000  0.5000  0.0000  2 Cl 2.12
Tc  0.0000  0.0000  0.5000  2 Cl 2.12
Fe  0.5000  0.5000  0.5000  12 Tc 3.00